(1)
Compound: RbCaRhO2
Source: Alexandria via LeMat-Bulk
Functional: GGA-PBE
Structure: relaxed

Unit cell a=4.4592 b=4.4592 c=5.7702 alpha=90.00 beta=90.00 gamma=90.00
Last column: nearest neighbours and their distance in Å.
Space group P4/mmm (No. 123)
Asymmetric unit:
Rb  0.0000  0.0000  0.0000 x1  2 Ca 2.89, 4 Rh 3.15
Ca  0.0000  0.0000  0.5000 x1  4 O 2.23
Rh  0.5000  0.5000  0.0000 x1  4 Rb 3.15
O  0.0000  0.5000  0.5000 x2  2 Ca 2.23

Computed properties:
The formation energy without anion corrections comes out at 0.090 eV/atom. As for the total moment: 2.10 μB per formula unit. The density is 3.77 g/cm3.


(2)
Compound: RbCaRuO4
Source: Alexandria via LeMat-Bulk
Functional: GGA-PBE
Structure: relaxed

Unit cell a=6.1508 b=5.9427 c=7.5727 alpha=90.00 beta=106.30 gamma=90.00
Last column: nearest neighbours and their distance in Å.
Space group P2_1/m (No. 11)
Asymmetric unit:
Rb  0.2396  0.2500  0.4467 x2  4 O 2.83-3.17
Ca  0.3204  0.2500  0.9657 x2  5 O 2.33-2.54
Ru  0.2155  0.7500  0.1553 x2  4 O 1.79-1.91
O  0.0336  0.7500  0.9234 x2  1 Ru 1.80
O  0.0606  0.7500  0.3238 x2  1 Ru 1.79
O  0.4516  0.5335  0.1811 x4  1 Ru 1.91

Computed properties:
The formation energy without anion corrections comes out at -1.595 eV/atom. As for the total moment: 1.03 μB per formula unit. The density is 3.63 g/cm3.


(3)
Compound: RbCaRu2O
Source: Alexandria via LeMat-Bulk
Functional: GGA-PBE
Structure: relaxed

Unit cell a=4.8236 b=4.8236 c=7.9685 alpha=90.00 beta=90.00 gamma=90.00
Last column: nearest neighbours and their distance in Å.
Space group P4/mmm (No. 123)
Asymmetric unit:
Rb  0.0000  0.0000  0.0000 x1  4 O 3.41
Ca  0.0000  0.0000  0.5000 x1  4 Ru 2.41
Ru  0.0000  0.5000  0.5000 x2  2 Ca 2.41
O  0.5000  0.5000  0.0000 x1  4 Rb 3.41

Computed properties:
The formation energy without anion corrections comes out at 1.905 eV/atom. As for the total moment: 3.23 μB per formula unit. The density is 3.08 g/cm3.


(4)
Compound: RbCaRu2O8
Source: Alexandria via LeMat-Bulk
Functional: GGA-PBE
Structure: relaxed

Unit cell a=6.0026 b=6.0026 c=8.0686 alpha=90.00 beta=90.00 gamma=120.00
Last column: nearest neighbours and their distance in Å.
Space group P-3 (No. 147)
Asymmetric unit:
Rb  0.0000  0.0000  0.0000 x1  12 O 3.10-3.47
Ca  0.0000  0.0000  0.5000 x1  6 O 2.33
Ru  0.3333  0.6667  0.7574 x2  4 O 1.75-1.78
O  0.1706  0.8271  0.6857 x6  1 Ru 1.78
O  0.3333  0.6667  0.9746 x2  1 Ru 1.75

Computed properties:
The formation energy without anion corrections comes out at -1.339 eV/atom. As for the total moment: 3.01 μB per formula unit. The density is 3.01 g/cm3.